Here is crystalline LuVO4 at its relaxed geometry from Alexandria via LeMat-Bulk. Energies are from PBE with a Hubbard U.

a b c (Å): 5.901 5.901 5.901
angles (deg): 106.43 106.43 115.73
Atoms (fractional coordinates):
O (0.866, 0.678, 0.188)
O (0.928, 0.616, 0.688)
O (0.322, 0.134, 0.812)
O (0.760, 0.072, 0.688)
O (0.490, 0.678, 0.812)
O (0.928, 0.240, 0.312)
O (0.384, 0.072, 0.312)
O (0.322, 0.510, 0.188)
Lu (0.000, 0.000, 0.000)
Lu (0.250, 0.750, 0.500)
V (0.750, 0.250, 0.500)
V (0.500, 0.500, 0.000)

Calculated values
ΔE to the lowest computed polymorph (meV/atom): 0
Magnetization (Bohr magnetons per cell): 0.00